(1)
20
Lattice="-4.079 4.079 4.079 4.079 -4.079 4.079 4.079 4.079 -4.079" Properties=species:S:1:pos:R:3 comment="RbZn4Ag3F12 PBE relaxed" magnetic_moment_mub_per_atom=0.0084 raw_formation_energy_mev_per_atom=-1963 pbc="T T T"
Rb 0.000 0.000 0.000
Zn 2.039 2.039 -2.039
Zn 2.039 -2.039 2.039
Zn -2.039 2.039 2.039
Zn 2.039 2.039 2.039
Ag 4.079 0.000 0.000
Ag 0.000 4.079 0.000
Ag 0.000 0.000 4.079
F 4.079 -1.760 2.328
F 2.319 1.751 0.000
F 5.838 1.751 0.000
F 2.328 4.079 -1.760
F 1.751 0.000 2.319
F 0.000 2.319 1.751
F 4.079 1.760 2.328
F 2.328 4.079 1.760
F 1.751 0.000 5.838
F -1.760 2.328 4.079
F 1.760 2.328 4.079
F 0.000 5.838 1.751

(2)
12
Lattice="2.494 1.440 7.567 -2.494 1.440 7.567 0.000 -2.879 7.567" Properties=species:S:1:pos:R:3 comment="BaGe2AsO8 PBE relaxed" dos_ef_per_ev_fu=8.641 magnetic_moment_mub_per_atom=0.0919 raw_formation_energy_mev_per_atom=-1551 pbc="T T T"
Ba 0.000 0.000 0.000
Ge 0.000 0.000 5.256
Ge 0.000 0.000 17.445
As 0.000 0.000 11.350
O -1.507 -0.009 10.264
O -0.746 -1.309 12.437
O 0.000 0.000 7.033
O 0.761 -1.300 10.264
O -0.761 1.300 12.437
O 0.000 0.000 15.668
O 0.746 1.309 10.264
O 1.507 0.009 12.437

(3)
6
Lattice="3.517 0.000 0.000 0.000 4.764 0.000 0.000 0.000 8.516" Properties=species:S:1:pos:R:3 comment="LiInSn PBE relaxed" ef_ev_per_fu=-0.4 dos_ef_per_ev_fu=1.065 magnetic_moment_mub_per_atom=0.0000 pbc="T T T"
Li 0.879 1.191 2.027
Li 2.638 3.573 6.489
In 0.879 3.573 3.750
In 2.638 1.191 4.766
Sn 0.879 1.191 7.624
Sn 2.638 3.573 0.892